## SiAs2Pt (PBE)

Data for crystalline SiAs2Pt at its relaxed geometry.

Calculated values
M_tot = 0.00 μB per formula unit
Formation energy (no corrections) = 257 meV per atom

a = 5.7138 Å, b = 7.1357 Å, c = 3.3470 Å
α = 90.00°, β = 90.00°, γ = 90.00°
Space group Cmmm (No. 65)
Inequivalent atoms, fractional coordinates:
Si 0.0000 0.0000 0.0000
As 0.2500 0.2500 0.5000
Pt 0.0000 0.5000 0.0000


## SiAs2Pt (PBE)

Data for crystalline SiAs2Pt at its relaxed geometry.

Calculated values
M_tot = 0.00 μB per formula unit
Formation energy (no corrections) = 302 meV per atom

a = 6.4784 Å, b = 6.4784 Å, c = 6.4784 Å
α = 90.00°, β = 90.00°, γ = 90.00°
Space group F-43m (No. 216)
Inequivalent atoms, fractional coordinates:
Si 0.0000 0.0000 0.0000
As 0.0000 0.0000 0.5000
As 0.2500 0.2500 0.2500
Pt 0.2500 0.2500 0.7500


## SiAs2Pt (PBE)

Data for crystalline SiAs2Pt at its relaxed geometry.

Calculated values
M_tot = 0.00 μB per formula unit
Formation energy (no corrections) = 146 meV per atom

a = 2.8215 Å, b = 5.0364 Å, c = 9.8698 Å
α = 90.00°, β = 90.00°, γ = 90.00°
Space group Imm2 (No. 44)
Inequivalent atoms, fractional coordinates:
Si 0.0000 0.0000 0.0000
As 0.0000 0.0000 0.5557
As 0.0000 0.5000 0.7397
Pt 0.0000 0.5000 0.2931


## SiAs2Pt (PBE)

Data for crystalline SiAs2Pt at its relaxed geometry.

Calculated values
M_tot = 0.00 μB per formula unit
Formation energy (no corrections) = 319 meV per atom

a = 4.0304 Å, b = 4.0304 Å, c = 4.2588 Å
α = 90.00°, β = 90.00°, γ = 90.00°
Space group P4/mmm (No. 123)
Inequivalent atoms, fractional coordinates:
Si 0.0000 0.0000 0.0000
As 0.0000 0.5000 0.5000
Pt 0.5000 0.5000 0.0000


## SiAs2Pt (PBE)

Data for crystalline SiAs2Pt at its relaxed geometry.

Calculated values
M_tot = 0.00 μB per formula unit
Formation energy (no corrections) = -146 meV per atom

a = 7.0681 Å, b = 3.6661 Å, c = 6.1717 Å
α = 90.00°, β = 108.64°, γ = 90.00°
Space group Cm (No. 8)
Inequivalent atoms, fractional coordinates:
Si 0.0000 0.0000 0.0000
As 0.0055 0.5000 0.4184
As 0.1622 0.0000 0.7113
Pt 0.2249 0.5000 0.1730


## SiAs3Pt (PBE)

Data for crystalline SiAs3Pt at its relaxed geometry.

Calculated values
M_tot = 0.00 μB per formula unit
Formation energy (no corrections) = 806 meV per atom
Energy above the lowest structure with this stoichiometry = 0.00 eV per formula unit

a = 4.6338 Å, b = 4.6338 Å, c = 4.6338 Å
α = 90.00°, β = 90.00°, γ = 90.00°
Space group Pm-3m (No. 221)
Inequivalent atoms, fractional coordinates:
Si 0.0000 0.0000 0.0000
As 0.0000 0.0000 0.5000
Pt 0.5000 0.5000 0.5000


## SiAsPt2 (PBE)

Data for crystalline SiAsPt2 at its relaxed geometry.

Calculated values
M_tot = 0.00 μB per formula unit
Formation energy (no corrections) = -252 meV per atom

a = 3.4756 Å, b = 3.4756 Å, c = 20.6581 Å
α = 90.00°, β = 90.00°, γ = 120.00°
Space group R3m (No. 160, hexagonal axes)
Inequivalent atoms, fractional coordinates:
Si 0.0000 0.0000 0.0000
As 0.0000 0.0000 0.2259
Pt 0.0000 0.0000 0.4917
Pt 0.0000 0.0000 0.7254


## SiAs2Pt (PBE)

Data for crystalline SiAs2Pt at its relaxed geometry.

Calculated values
M_tot = 0.00 μB per formula unit
Formation energy (no corrections) = 246 meV per atom

a = 2.7934 Å, b = 4.8955 Å, c = 4.9589 Å
α = 90.00°, β = 90.00°, γ = 90.00°
Space group Pmmm (No. 47)
Inequivalent atoms, fractional coordinates:
Si 0.0000 0.0000 0.0000
As 0.0000 0.5000 0.5000
As 0.5000 0.0000 0.5000
Pt 0.5000 0.5000 0.0000


no.,density (g/cm³)
1,9.078
2,9.112
3,8.833
4,8.954
5,8.175
6,7.476
7,11.368
8,9.134